Entry 1:
Below is a geometry-optimized Al3TlZn3 structure, with properties calculated at the PBE level.

Output
Electronic total energy   -2.02 eV/atom
Calculated formation energy   0.47 eV/atom
ρ   4.4 g/cm³

a = 7.115 Å, b = 7.115 Å, c = 7.115 Å
α = 90.00°, β = 90.00°, γ = 90.00°
Positions (direct):
1 Al 0.000 0.250 0.500
2 Al 0.000 0.750 0.500
3 Al 0.250 0.500 0.000
4 Al 0.500 0.000 0.250
5 Al 0.500 0.000 0.750
6 Al 0.750 0.500 0.000
7 Tl 0.000 0.000 0.000
8 Tl 0.500 0.500 0.500
9 Zn 0.000 0.500 0.250
10 Zn 0.000 0.500 0.750
11 Zn 0.250 0.000 0.500
12 Zn 0.500 0.250 0.000
13 Zn 0.500 0.750 0.000
14 Zn 0.750 0.000 0.500


Entry 2:
Below is a geometry-optimized VP2SN structure, with properties calculated at the PBE level.

Output
Electronic total energy   -5.30 eV/atom
ρ   2.9 g/cm³
Formation energy without anion corrections   1181 meV per atom

a = 4.563 Å, b = 4.563 Å, c = 4.441 Å
α = 90.00°, β = 90.00°, γ = 90.00°
Positions (direct):
1 V 0.000 0.000 0.000
2 P 0.000 0.500 0.000
3 P 0.500 0.000 0.000
4 S 0.000 0.000 0.500
5 N 0.500 0.500 0.500


Entry 3:
Below is a geometry-optimized ZrTl2Ir structure, with properties calculated at the PBE level.

Output
Electronic total energy   -5.30 eV/atom
Calculated formation energy   0.24 eV/atom
ρ   14.0 g/cm³

a = 3.392 Å, b = 3.392 Å, c = 7.141 Å
α = 90.00°, β = 90.00°, γ = 90.00°
Positions (direct):
1 Zr 0.000 0.000 0.000
2 Tl 0.500 0.500 0.274
3 Tl 0.500 0.500 0.726
4 Ir 0.000 0.000 0.500